Entry 1:
The following is a GGA-PBE calculation of YBeSiPt3 after structural relaxation, from Alexandria.

```
YBeSiPt3
1.0
-2.359 0.153 4.989
-5.667 -1.468 -2.635
3.964 -4.898 2.024
Y Be Si Pt
2 2 2 6
Cartesian
-1.139 -3.028 4.136
-2.924 -3.185 0.242
-2.345 -6.072 0.605
-1.718 -0.141 3.774
0.259 -4.192 1.778
-4.322 -2.021 2.600
-0.189 -1.957 1.498
-1.576 -0.408 -0.732
-5.271 -0.983 0.592
-2.755 -0.332 1.762
-4.092 -1.060 -1.902
-3.873 -4.256 2.881
```

## Properties
Energy (eV per atom): -6.483
Total moment (μB per formula unit): 0.000
Space group: Cmcm, No. 63
N(E_F) (states/eV/cell): 4.46
Formation energy (no corrections) (kJ per mole of atoms): -83.0

---

Entry 2:
The following is a GGA-PBE calculation of YBeSiPt2 after structural relaxation, from Alexandria.

```
YBeSiPt2
1.0
-1.799 -2.858 -2.316
3.081 0.238 -2.687
1.842 -2.300 5.028
Y Be Si Pt
1 1 1 2
Cartesian
0.000 0.000 0.000
0.342 -3.234 0.105
2.782 -1.686 -0.081
1.296 -2.262 -1.835
1.828 -2.658 1.860
```

## Properties
Energy (eV per atom): -6.495
Total moment (μB per formula unit): 0.000
Space group: I-4m2, No. 119
N(E_F) (states/eV/cell): 3.03
Formation energy (no corrections) (kJ per mole of atoms): -92.3